# YAlBr2

A relaxed structure of YAlBr2 (PBE-GGA, Alexandria via LeMat-Bulk).

Cell and atoms, written as POSCAR:
```
YAlBr2
1.0
-1.9601 0.9036 -5.1655
-0.6976 -5.0267 -2.3636
-1.7984 1.9470 4.9312
Br Al Y
2 1 1
Cartesian
0.0000 0.0000 0.0000
-1.3288 -2.0616 -3.7646
-2.5436 0.3945 -1.9995
-1.9124 -2.5706 -0.5985
```

uncorrected formation energy	-0.5377	eV per atom
total energy	-3.926	eV per atom
volume	25.06	Å³ per atom
crystal system	tetragonal

***

# Y2AlBr

A relaxed structure of Y2AlBr (PBE-GGA, Alexandria via LeMat-Bulk).

Cell and atoms, written as POSCAR:
```
Y2AlBr
1.0
6.4014 0.0007 0.0000
3.5195 5.3470 0.0000
-4.9604 -2.6738 3.0368
Al Y Br
1 2 1
Cartesian
4.9604 2.6738 0.0000
1.7597 2.6735 1.5184
0.0000 0.0000 0.0000
3.2007 0.0003 1.5184
```

uncorrected formation energy	-0.3346	eV per atom
total energy	-4.921	eV per atom
volume	25.98	Å³ per atom
crystal system	tetragonal

***

# YAlBr2

A relaxed structure of YAlBr2 (PBE-GGA, Alexandria via LeMat-Bulk).

Cell and atoms, written as POSCAR:
```
YAlBr2
1.0
4.8533 0.0000 0.0000
0.0000 3.8003 -0.0047
0.0000 -0.0107 5.8477
Al Br Y
1 2 1
Cartesian
2.4267 2.8423 4.3822
0.0000 0.1063 0.0099
0.0000 1.7886 2.9116
2.4267 0.9474 1.4607
```

uncorrected formation energy	-0.6647	eV per atom
total energy	-4.053	eV per atom
volume	26.96	Å³ per atom
crystal system	monoclinic

***

Please write out number 2 again, unchanged.
# Y2AlBr

A relaxed structure of Y2AlBr (PBE-GGA, Alexandria via LeMat-Bulk).

Cell and atoms, written as POSCAR:
```
Y2AlBr
1.0
6.4014 0.0007 0.0000
3.5195 5.3470 0.0000
-4.9604 -2.6738 3.0368
Al Y Br
1 2 1
Cartesian
4.9604 2.6738 0.0000
1.7597 2.6735 1.5184
0.0000 0.0000 0.0000
3.2007 0.0003 1.5184
```

uncorrected formation energy	-0.3346	eV per atom
total energy	-4.921	eV per atom
volume	25.98	Å³ per atom
crystal system	tetragonal

***

Please write out number 1 again, unchanged.
# YAlBr2

A relaxed structure of YAlBr2 (PBE-GGA, Alexandria via LeMat-Bulk).

Cell and atoms, written as POSCAR:
```
YAlBr2
1.0
-1.9601 0.9036 -5.1655
-0.6976 -5.0267 -2.3636
-1.7984 1.9470 4.9312
Br Al Y
2 1 1
Cartesian
0.0000 0.0000 0.0000
-1.3288 -2.0616 -3.7646
-2.5436 0.3945 -1.9995
-1.9124 -2.5706 -0.5985
```

uncorrected formation energy	-0.5377	eV per atom
total energy	-3.926	eV per atom
volume	25.06	Å³ per atom
crystal system	tetragonal

***

Q: Which formula does entry 1 have?
A: YAlBr2